Model one:
First-principles (GGA-PBE) data for a relaxed structure of GePt3Rh, as listed in Alexandria.

The calculation puts the total magnetization at 1.4 μB/cell. Its space group is No. 221.

POSCAR file:
```
GePt3Rh
1.0
-3.132 -2.987 -1.563
3.345 -2.487 -1.951
0.421 -2.464 3.864
Ge Rh Pt
1 1 3
Direct
0.000 0.000 0.000
0.500 0.500 0.500
0.000 0.500 0.000
0.000 0.000 0.500
0.500 0.000 0.000
```

=====

Model two:
First-principles (GGA-PBE) data for a relaxed structure of GePt3Rh, as listed in Alexandria.

The calculation puts the total magnetization at 2.2 μB/cell. Its space group is No. 221.

POSCAR file:
```
GePt3Rh
1.0
4.829 0.000 0.000
0.000 4.829 0.000
0.000 0.000 4.829
Ge Rh Pt
1 1 3
Direct
0.500 0.500 0.500
0.000 0.000 0.000
0.000 0.500 0.000
0.000 0.000 0.500
0.500 0.000 0.000
```

=====

Model three:
First-principles (GGA-PBE) data for a relaxed structure of GePt3Rh, as listed in Alexandria.

The calculation puts the total magnetization at 0.0 μB/cell. Its space group is No. 62.

POSCAR file:
```
GePt3Rh
1.0
-3.727 -1.063 0.372
1.157 -4.934 -2.509
2.906 -5.760 12.664
Ge Pt Rh
4 12 4
Direct
0.250 0.113 0.389
0.750 0.887 0.611
0.750 0.387 0.889
0.250 0.613 0.111
0.750 0.225 0.272
0.250 0.660 0.918
0.250 0.044 0.155
0.250 0.544 0.345
0.250 0.160 0.582
0.750 0.456 0.655
0.250 0.275 0.772
0.750 0.956 0.845
0.750 0.340 0.082
0.750 0.725 0.228
0.750 0.840 0.418
0.250 0.775 0.728
0.250 0.655 0.537
0.750 0.345 0.463
0.750 0.845 0.037
0.250 0.155 0.963
```

=====

Short version: model three is the most stable of them.

=====

Model one:
First-principles (GGA-PBE) data for a relaxed structure of Ge3PtRh, as listed in Alexandria.

The calculation puts the total magnetization at 0.0 μB/cell. Its space group is No. 221.

POSCAR file:
```
Ge3PtRh
1.0
-0.076 4.613 -0.921
0.804 -0.895 -4.548
-4.634 -0.231 -0.774
Ge Rh Pt
3 1 1
Direct
0.000 0.500 0.000
0.000 0.000 0.500
0.500 0.000 0.000
0.000 0.000 0.000
0.500 0.500 0.500
```

=====

Model two:
First-principles (GGA-PBE) data for a relaxed structure of Ge3PtRh, as listed in Alexandria.

The calculation puts the total magnetization at 0.0 μB/cell. Its space group is No. 62.

POSCAR file:
```
Ge3PtRh
1.0
-2.465 1.512 0.810
-3.058 0.119 -9.527
-5.461 -9.776 1.631
Ge Pt Rh
12 4 4
Direct
0.750 0.240 0.252
0.250 0.613 0.928
0.250 0.998 0.121
0.250 0.498 0.379
0.250 0.113 0.572
0.750 0.502 0.621
0.250 0.260 0.752
0.750 0.002 0.879
0.750 0.387 0.072
0.750 0.740 0.248
0.750 0.887 0.428
0.250 0.760 0.748
0.250 0.690 0.535
0.750 0.310 0.465
0.750 0.810 0.035
0.250 0.190 0.965
0.250 0.073 0.341
0.750 0.927 0.659
0.750 0.427 0.841
0.250 0.573 0.159
```

=====

Model three:
First-principles (GGA-PBE) data for a relaxed structure of Ge3PtRh, as listed in Alexandria.

The calculation puts the total magnetization at 0.0 μB/cell. Its space group is No. 11.

POSCAR file:
```
Ge3PtRh
1.0
-0.762 -1.615 3.807
-0.221 -3.610 -3.951
8.526 -1.631 1.014
Ge Pt Rh
6 2 2
Direct
0.850 0.168 0.020
0.150 0.832 0.980
0.850 0.168 0.480
0.150 0.832 0.520
0.758 0.716 0.250
0.242 0.284 0.750
0.132 0.443 0.250
0.868 0.557 0.750
0.429 0.027 0.250
0.571 0.973 0.750
```

=====

Short version: model two is the most stable of them.

=====

Model one:
First-principles (GGA-PBE) data for a relaxed structure of GePtRh3, as listed in Alexandria.

The calculation puts the total magnetization at 1.7 μB/cell. Its space group is No. 221.

POSCAR file:
```
GePtRh3
1.0
-1.897 -4.005 -0.704
3.126 -1.933 2.575
-2.601 0.599 3.607
Ge Rh Pt
1 3 1
Direct
0.000 0.000 0.000
0.000 0.500 0.000
0.000 0.000 0.500
0.500 0.000 0.000
0.500 0.500 0.500
```

=====

Model two:
First-principles (GGA-PBE) data for a relaxed structure of GePtRh3, as listed in Alexandria.

The calculation puts the total magnetization at 2.0 μB/cell. Its space group is No. 221.

POSCAR file:
```
GePtRh3
1.0
-1.648 -4.120 1.789
2.080 0.989 4.194
-3.981 2.222 1.450
Ge Rh Pt
1 3 1
Direct
0.500 0.500 0.500
0.000 0.500 0.000
0.000 0.000 0.500
0.500 0.000 0.000
0.000 0.000 0.000
```

=====

Short version: model one is the most stable of them.

=====

Model one:
First-principles (GGA-PBE) data for a relaxed structure of Ge4PtRh, as listed in Alexandria.

The calculation puts the total magnetization at 0.0 μB/cell. Its space group is No. 141.

POSCAR file:
```
Ge4PtRh
1.0
6.925 0.705 0.000
-2.311 6.566 0.000
-2.307 -3.636 5.469
Ge Pt Rh
8 2 2
Direct
0.298 0.978 0.320
0.658 0.978 0.680
0.728 0.908 0.180
0.452 0.272 0.180
0.728 0.548 0.820
0.022 0.342 0.320
0.092 0.272 0.820
0.022 0.702 0.680
0.250 0.750 0.500
0.500 0.500 0.000
0.000 0.000 0.000
0.750 0.250 0.500
```

=====

Model two:
First-principles (GGA-PBE) data for a relaxed structure of Ge4PtRh, as listed in Alexandria.

The calculation puts the total magnetization at 0.0 μB/cell. Its space group is No. 15.

POSCAR file:
```
Ge4PtRh
1.0
0.494 1.009 -5.452
2.342 -5.221 -0.763
-7.610 -0.518 2.061
Ge Pt Rh
8 2 2
Direct
0.122 0.884 0.887
0.765 0.503 0.887
0.901 0.768 0.401
0.099 0.232 0.599
0.500 0.867 0.599
0.235 0.497 0.113
0.500 0.133 0.401
0.878 0.116 0.113
0.449 0.199 0.898
0.551 0.801 0.102
0.204 0.454 0.407
0.796 0.546 0.593
```

=====

Short version: model two is the most stable of them.